(1)
Compound: Tb5Dy12Th2
Source: Alexandria
Functional: PBE
Structure: optimized geometry

As for the space group: P-1. The energy relative to the elements is 2.27 eV/f.u. The calculation puts the energy above the most stable polymorph in this dataset at 0.000 eV per atom.

```
Tb5Dy12Th2
1.0
6.0771 0.0000 0.0000
0.1916 9.6141 0.0000
1.5422 3.8518 10.5051
Tb Dy Th
5 12 2
direct
0.0000 0.0000 0.0000
0.1069 0.9563 0.3425
0.4946 0.5508 0.8314
0.5054 0.4492 0.1686
0.8931 0.0437 0.6575
0.0370 0.6876 0.6546
0.0796 0.3115 0.0444
0.1756 0.3208 0.7243
0.3790 0.9104 0.7856
0.4214 0.8159 0.1021
0.4294 0.1876 0.4846
0.5706 0.8124 0.5154
0.5786 0.1841 0.8979
0.6210 0.0896 0.2144
0.8244 0.6792 0.2757
0.9204 0.6885 0.9556
0.9630 0.3124 0.3454
0.2763 0.5659 0.4198
0.7237 0.4341 0.5802
```

(2)
Compound: Cs4RbCl5
Source: Alexandria
Functional: PBE
Structure: optimized geometry

The energy relative to the elements, uncorrected comes out at -1.959 eV/atom. As for the space group: Immm.

```
Cs4RbCl5
1.0
-2.4714 3.4954 12.3801
2.4714 -3.4954 12.3801
2.4714 3.4954 -12.3801
Cs Rb Cl
4 1 5
direct
0.0989 0.0989 0.0000
0.3025 0.3025 0.0000
0.6975 0.6975 0.0000
0.9011 0.9011 0.0000
0.5000 0.5000 0.0000
0.0000 0.5000 0.5000
0.2008 0.7008 0.5000
0.4059 0.9059 0.5000
0.5941 0.0941 0.5000
0.7992 0.2992 0.5000
```

(3)
Compound: Mg2RhSe
Source: Alexandria
Functional: PBE
Structure: optimized geometry

The energy relative to the elements, uncorrected comes out at -0.389 eV/atom. As for the space group: Pmm2.

```
Mg2RhSe
1.0
3.3017 0.0000 0.0000
0.0000 3.8665 0.0000
0.0000 0.0000 5.6495
Mg Rh Se
2 1 1
direct
0.0000 0.0000 0.0000
0.5000 0.5000 0.3182
0.0000 0.0000 0.4762
0.5000 0.5000 0.7996
```

(4)
Compound: NdNpSb2
Source: Alexandria
Functional: PBE
Structure: optimized geometry

The energy relative to the elements, uncorrected comes out at -0.579 eV/atom. As for the space group: R3m. The calculation puts the energy above the most stable polymorph in this dataset at 0.103 eV per atom.

```
NdNpSb2
1.0
2.2067 1.2740 7.5911
-2.2067 1.2740 7.5911
0.0000 -2.5481 7.5911
Nd Np Sb
1 1 2
direct
0.0000 0.0000 0.0000
0.8290 0.8290 0.8290
0.2438 0.2438 0.2438
0.4186 0.4186 0.4186
```

(5)
Compound: LaAl2Ag
Source: Alexandria
Functional: PBE
Structure: optimized geometry

As for the space group: Pm. The energy relative to the elements is -0.71 eV/f.u. The calculation puts the energy above the most stable polymorph in this dataset at 0.215 eV per atom.

```
LaAl2Ag
1.0
3.3342 0.0000 0.0000
0.0000 4.4026 0.0000
-1.6310 0.0000 6.1903
La Al Ag
1 2 1
direct
0.0000 0.0000 0.0000
0.2662 0.0000 0.5190
0.3815 0.5000 0.7591
0.7025 0.5000 0.3947
```

(6)
Compound: Pu2ZnCl
Source: Alexandria
Functional: PBE
Structure: optimized geometry

The energy relative to the elements, uncorrected comes out at -0.370 eV/atom. As for the space group: R-3m.

```
Pu2ZnCl
1.0
2.1423 1.2369 6.2067
-2.1423 1.2369 6.2067
0.0000 -2.4737 6.2067
Pu Zn Cl
2 1 1
direct
0.2428 0.2428 0.2428
0.7572 0.7572 0.7572
0.0000 0.0000 0.0000
0.5000 0.5000 0.5000
```

(7)
Compound: Hf2Ga6Au
Source: Alexandria
Functional: PBE
Structure: optimized geometry

As for the space group: Cmmm. The energy relative to the elements is -1.93 eV/f.u.

```
Hf2Ga6Au
1.0
3.6287 -7.2917 0.0000
3.6287 7.2917 0.0000
0.0000 0.0000 3.1618
Hf Ga Au
2 6 1
direct
0.1914 0.8086 0.0000
0.8086 0.1914 0.0000
0.1578 0.4789 0.5000
0.1888 0.1888 0.0000
0.4789 0.1578 0.5000
0.5211 0.8422 0.5000
0.8112 0.8112 0.0000
0.8422 0.5211 0.5000
0.5000 0.5000 0.5000
```

(8)
Compound: Dy4Ru2Au
Source: Alexandria
Functional: PBE
Structure: optimized geometry

As for the space group: R-3m. The energy relative to the elements is -3.28 eV/f.u. The calculation puts the energy above the most stable polymorph in this dataset at 0.000 eV per atom.

```
Dy4Ru2Au
1.0
2.4349 1.4058 7.8783
-2.4349 1.4058 7.8783
0.0000 -2.8116 7.8783
Dy Ru Au
4 2 1
direct
0.1201 0.1201 0.1201
0.3713 0.3713 0.3713
0.6287 0.6287 0.6287
0.8799 0.8799 0.8799
0.2484 0.2484 0.2484
0.7516 0.7516 0.7516
0.5000 0.5000 0.5000
```

(9)
Compound: Rb3La3AlSe8
Source: Alexandria
Functional: PBE
Structure: optimized geometry

The energy relative to the elements, uncorrected comes out at -1.470 eV/atom. As for the space group: C2/m.

```
Rb3La3AlSe8
1.0
7.4832 -4.3139 0.0000
7.4832 4.3139 0.0000
-4.9921 0.0000 8.1730
Rb La Al Se
3 3 1 8
direct
0.0000 0.0000 0.0000
0.0000 0.5000 0.0000
0.5000 0.0000 0.0000
0.0000 0.5000 0.5000
0.5000 0.0000 0.5000
0.5000 0.5000 0.5000
0.0000 0.0000 0.5000
0.2083 0.2083 0.6823
0.2085 0.7655 0.6826
0.2345 0.7915 0.3174
0.2654 0.2654 0.2962
0.7346 0.7346 0.7038
0.7655 0.2085 0.6826
0.7915 0.2345 0.3174
0.7917 0.7917 0.3177
```